No. 1
SiMoPt | the Alexandria database | GGA-PBE | relaxed; density = 11.9 g/cm3; N(E_F) = 1.310 states/eV per atom; magnetization = 0.0 μB per formula unit; formation energy (no corrections) = -27 kJ per mole of atoms
1.0
4.232 0.000 0.000
-2.116 3.665 0.000
0.000 0.000 2.869
Si Mo Pt
1 1 1
Cartesian
0.000 0.000 0.000 Si
2.116 1.222 1.435 Mo
0.000 2.444 0.000 Pt

No. 2
Hf2CCl | the Alexandria database | GGA-PBE | relaxed; density = 11.8 g/cm3; N(E_F) = 0.443 states/eV per atom; magnetization = 0.0 μB per formula unit; formation energy (no corrections) = 3 kJ per mole of atoms
1.0
0.000 3.056 3.056
3.056 0.000 3.056
3.056 3.056 0.000
Hf C Cl
2 1 1
Cartesian
1.528 1.528 1.528 Hf
4.585 4.585 4.585 Hf
0.000 0.000 0.000 C
3.056 3.056 3.056 Cl

No. 3
CdFe2P | the Alexandria database | GGA-PBE | relaxed; density = 6.9 g/cm3; N(E_F) = 0.828 states/eV per atom; magnetization = 4.6 μB per formula unit; distance to the lowest polymorph of the same formula = 205 meV/atom; ΔE_f = 0.17 eV per atom
1.0
1.438 0.830 8.521
-1.438 0.830 8.521
0.000 -1.660 8.521
Cd Fe P
1 2 1
Cartesian
0.000 0.000 0.000 Cd
0.000 0.000 6.148 Fe
0.000 0.000 12.816 Fe
0.000 0.000 19.805 P

No. 4
TmSc5Cd | the Alexandria database | GGA-PBE | relaxed; density = 4.7 g/cm3; N(E_F) = 1.574 states/eV per atom; magnetization = 0.0 μB per formula unit; ΔE_f = 0.14 eV per atom
1.0
5.619 -2.960 0.000
5.619 2.960 0.000
-4.940 0.000 10.719
Tm Sc Cd
2 10 2
Cartesian
1.914 1.580 8.039 Tm
4.384 -1.580 2.680 Tm
-0.698 0.027 7.514 Sc
4.384 1.497 2.680 Sc
1.772 -0.027 2.155 Sc
-1.080 0.054 10.497 Sc
1.390 -0.054 5.138 Sc
4.909 0.054 5.581 Sc
7.379 -0.054 0.221 Sc
4.527 0.027 8.564 Sc
1.914 -1.497 8.039 Sc
6.997 -0.027 3.204 Sc
0.000 0.000 0.000 Cd
-2.470 0.000 5.359 Cd

Q: What is the density in the second record?
A: 11.8 g/cm3